First-principles (PBE+U) data for TeMoPbF2 after structural relaxation, as listed in the Alexandria database.

abc: 4.4944 4.4944 5.6873
angles: 90.00 90.00 90.00
With the nearest neighbours (Å) after each atom.
Fractional coordinates of all 5 atoms:
Te 0.0000 0.0000 0.0000  4 F 2.25
Mo 0.0000 0.0000 0.5000  2 Te 2.84, 4 Pb 3.18
Pb 0.5000 0.5000 0.5000  4 Mo 3.18
F 0.0000 0.5000 0.0000  2 Te 2.25
F 0.5000 0.0000 0.0000  2 Te 2.25

crystal system = tetragonal
VASP energy = -3.938 eV per atom